(1)
Sc2CdHAu | the Alexandria database | GGA-PBE | optimized geometry; total moment = 1.0 μB/cell; crystal system = tetragonal; SG = P4/mmm, No. 123; raw total energy = -4.43 eV/atom
1.0
4.416 0.000 0.000
0.000 4.416 0.000
0.000 0.000 4.291
Sc Cd H Au
2 1 1 1
direct
0.000 0.500 0.000
0.500 0.000 0.000
0.000 0.000 0.500
0.000 0.000 0.000
0.500 0.500 0.500

(2)
ScMo2Cl | the Alexandria database | GGA-PBE | optimized geometry; total moment = 0.0 μB/cell; formation energy without anion corrections = -0.14 eV per atom; crystal system = orthorhombic; SG = Cmm2, No. 35; raw total energy = -7.60 eV/atom
1.0
1.638 -2.536 0.000
1.638 2.536 0.000
0.000 0.000 9.021
Sc Mo Cl
1 2 1
direct
0.000 0.000 0.000
0.000 0.000 0.460
0.500 0.500 0.251
0.500 0.500 0.788

(3)
Th5InBi4 | the Alexandria database | GGA-PBE | optimized geometry; total moment = 0.0 μB/cell; crystal system = tetragonal; SG = I4, No. 79; raw total energy = -6.01 eV/atom
1.0
-5.133 5.133 3.238
5.133 -5.133 3.238
5.133 5.133 -3.238
Th In Bi
5 1 4
direct
0.000 0.000 0.000
0.208 0.402 0.608
0.402 0.794 0.194
0.600 0.208 0.806
0.794 0.600 0.392
0.500 0.500 0.000
0.098 0.699 0.795
0.303 0.098 0.399
0.699 0.904 0.601
0.904 0.303 0.205